1.
5
Lattice="6.669 0.000 0.000 0.000 6.669 0.000 0.000 0.000 6.669" Properties=species:S:1:pos:R:3 comment="Ba3PbBr (meta-GGA SCAN, PBEsol geometry)" space_group="Pm-3m, No. 221" formation_energy_uncorrected_mev_per_atom=-668 final_energy_ev_per_atom=-43.446 pbc="T T T"
Ba 0.000 0.000 3.334
Ba 0.000 3.334 0.000
Ba 3.334 0.000 0.000
Pb 0.000 0.000 0.000
Br 3.334 3.334 3.334

2.
4
Lattice="0.000 3.525 3.525 3.525 0.000 3.525 3.525 3.525 0.000" Properties=species:S:1:pos:R:3 comment="ErMgCd2 (meta-GGA SCAN, PBEsol geometry)" space_group="Fm-3m, No. 225" final_energy_ev_per_atom=-29.441 ef_mev_per_atom=-405.6 pbc="T T T"
Er 0.000 0.000 0.000
Mg 3.525 3.525 3.525
Cd 1.762 1.762 1.762
Cd 5.287 5.287 5.287

3.
5
Lattice="6.813 0.000 0.000 0.000 6.813 0.000 0.000 0.000 6.813" Properties=species:S:1:pos:R:3 comment="Rb3HfTl (meta-GGA SCAN, PBEsol geometry)" space_group="Pm-3m, No. 221" final_energy_ev_per_atom=-38.211 ef_mev_per_atom=1239.1 pbc="T T T"
Rb 0.000 0.000 3.407
Rb 0.000 3.407 0.000
Rb 3.407 0.000 0.000
Hf 0.000 0.000 0.000
Tl 3.407 3.407 3.407

4.
5
Lattice="6.029 0.000 0.000 0.000 6.029 0.000 0.000 0.000 4.046" Properties=species:S:1:pos:R:3 comment="YSbI2N (meta-GGA SCAN, PBEsol geometry)" space_group="P4/mmm, No. 123" formation_energy_uncorrected_mev_per_atom=14 final_energy_ev_per_atom=-29.562 pbc="T T T"
Y 0.000 0.000 0.000
Sb 3.015 3.015 2.023
I 0.000 3.015 0.000
I 3.015 0.000 0.000
N 0.000 0.000 2.023

Number 1: V 296.6 Å³/cell. Number 2: V 87.6 Å³/cell. Number 3: V 316.2 Å³/cell. Number 4: V 147.1 Å³/cell.